VASP calculation (GGA-PBE) on a relaxed structure of BaCaZn2.

Unit cell a=3.7873 b=5.4784 c=11.2189 alpha=90.00 beta=90.00 gamma=90.00
Closest atoms and distances in Å follow each position.
Space group Imm2 (No. 44)
Unique sites:
Ba1 0.0000 0.0000 0.0000 [2 per cell]  8 Zn 3.44-3.82, 2 Ca 3.54, 2 Ba 3.79
Ca1 0.0000 0.5000 0.8005 [2 per cell]  8 Zn 3.41-3.71, 2 Ba 3.54, 2 Ca 3.79
Zn1 0.0000 0.0000 0.5768 [2 per cell]  2 Zn 2.61
Zn2 0.0000 0.5000 0.2371 [2 per cell]  2 Zn 2.61

Calculated values
The calculation puts the magnetic moment at 0.000 μB per atom. The crystal system is orthorhombic. The value obtained for the energy above the lowest structure with this stoichiometry is 82.0 meV/atom. The volume comes out at 29.10 A^3/atom. Its energy of formation from the pure elements is -103 meV/atom.

VASP calculation (GGA-PBE) on a relaxed structure of BaCaZn.

Unit cell a=14.8274 b=5.0691 c=6.3165 alpha=90.00 beta=99.80 gamma=90.00
Closest atoms and distances in Å follow each position.
Space group C2/m (No. 12)
Unique sites:
Ba1 0.1331 0.0000 0.3020 [4 per cell]  4 Zn 3.29-3.60
Ca1 0.0961 0.5000 0.7902 [4 per cell]  3 Zn 3.10-3.18
Zn1 0.2274 0.0000 0.8666 [4 per cell]  2 Zn 3.05, 3 Ca 3.10-3.18, 1 Ba 3.29

Calculated values
The calculation puts the magnetic moment at 0.000 μB per atom. The crystal system is monoclinic. The value obtained for the energy above the lowest structure with this stoichiometry is 36.8 meV/atom. The volume comes out at 38.99 A^3/atom. Its energy of formation from the pure elements is -112 meV/atom.

VASP calculation (GGA-PBE) on a relaxed structure of BaCaZn2.

Unit cell a=4.5643 b=4.5643 c=22.6908 alpha=90.00 beta=90.00 gamma=120.00
Closest atoms and distances in Å follow each position.
Space group R3m (No. 160, hexagonal axes)
Unique sites:
Ba1 0.0000 0.0000 0.0000 [3 per cell]  6 Zn 3.48
Ca1 0.0000 0.0000 0.8248 [3 per cell]  6 Zn 3.13-3.14
Zn1 0.0000 0.0000 0.2330 [3 per cell]  3 Zn 2.64
Zn2 0.0000 0.0000 0.5663 [3 per cell]  3 Zn 2.64

Calculated values
The calculation puts the magnetic moment at 0.000 μB per atom. The crystal system is trigonal. The value obtained for the energy above the lowest structure with this stoichiometry is 5.4 meV/atom. The volume comes out at 34.11 A^3/atom. Its energy of formation from the pure elements is -179 meV/atom.

VASP calculation (GGA-PBE) on a relaxed structure of BaCaZn2.

Unit cell a=4.8315 b=4.8315 c=10.2208 alpha=90.00 beta=90.00 gamma=90.00
Closest atoms and distances in Å follow each position.
Space group I-4m2 (No. 119)
Unique sites:
Ba1 0.0000 0.0000 0.0000 [2 per cell]  8 Zn 3.42-3.52, 4 Ca 3.52
Ca1 0.0000 0.5000 0.7500 [2 per cell]  8 Zn 3.42-3.52, 4 Ba 3.52
Zn1 0.0000 0.0000 0.5000 [2 per cell]  4 Ba 3.42, 4 Ca 3.52, 4 Zn 3.52
Zn2 0.0000 0.5000 0.2500 [2 per cell]  4 Ca 3.42, 4 Ba 3.52, 4 Zn 3.52

Calculated values
The calculation puts the magnetic moment at 0.000 μB per atom. The crystal system is tetragonal. The value obtained for the energy above the lowest structure with this stoichiometry is 223.0 meV/atom. The volume comes out at 29.82 A^3/atom. Its energy of formation from the pure elements is 38 meV/atom.

VASP calculation (GGA-PBE) on a relaxed structure of Ba2Ca3Zn2.

Unit cell a=3.9355 b=33.8156 c=3.9389 alpha=90.00 beta=90.00 gamma=90.00
Closest atoms and distances in Å follow each position.
Space group Cmmm (No. 65)
Unique sites:
Ba1 0.0000 0.1909 0.0000 [4 per cell]  4 Zn 3.53, 1 Ca 3.72, 4 Ba 3.94
Ca1 0.0000 0.0809 0.0000 [4 per cell]  4 Zn 3.19
Ca2 0.0000 0.5000 0.5000 [2 per cell]  12 Ca 3.90-3.94, 2 Zn 4.29
Zn1 0.0000 0.3730 0.5000 [4 per cell]  4 Ca 3.19, 4 Ba 3.53

Calculated values
The calculation puts the magnetic moment at 0.000 μB per atom. The crystal system is orthorhombic. The volume comes out at 37.44 A^3/atom. Its energy of formation from the pure elements is -100 meV/atom.

VASP calculation (GGA-PBE) on a relaxed structure of BaCaZn.

Unit cell a=7.8264 b=7.8264 c=7.8264 alpha=90.00 beta=90.00 gamma=90.00
Closest atoms and distances in Å follow each position.
Space group F-43m (No. 216)
Unique sites:
Ba1 0.0000 0.0000 0.0000 [4 per cell]  4 Zn 3.39
Ca1 0.0000 0.0000 0.5000 [4 per cell]  4 Zn 3.39
Zn1 0.2500 0.2500 0.2500 [4 per cell]  4 Ca 3.39, 4 Ba 3.39

Calculated values
The calculation puts the magnetic moment at 0.000 μB per atom. The crystal system is cubic. The value obtained for the energy above the lowest structure with this stoichiometry is 140.9 meV/atom. The volume comes out at 39.95 A^3/atom. Its energy of formation from the pure elements is -8 meV/atom.

VASP calculation (GGA-PBE) on a relaxed structure of BaCa4Zn5.

Unit cell a=3.7540 b=3.7540 c=18.8751 alpha=90.00 beta=90.00 gamma=90.00
Closest atoms and distances in Å follow each position.
Space group P4/mmm (No. 123)
Unique sites:
Ba1 0.0000 0.0000 0.0000 [1 per cell]  8 Zn 3.50, 4 Ba 3.75
Ca1 0.0000 0.0000 0.2134 [2 per cell]  8 Zn 3.17-3.21
Ca2 0.0000 0.0000 0.4044 [2 per cell]  8 Zn 3.21
Zn1 0.5000 0.5000 0.1211 [2 per cell]  4 Ca 3.17, 4 Ba 3.50, 1 Zn 3.54
Zn2 0.5000 0.5000 0.3087 [2 per cell]  8 Ca 3.21, 1 Zn 3.54
Zn3 0.5000 0.5000 0.5000 [1 per cell]  8 Ca 3.21

Calculated values
The calculation puts the magnetic moment at 0.000 μB per atom. The crystal system is tetragonal. The volume comes out at 26.60 A^3/atom. Its energy of formation from the pure elements is -205 meV/atom.

VASP calculation (GGA-PBE) on a relaxed structure of BaCaZn2.

Unit cell a=4.5051 b=6.7019 c=8.5666 alpha=90.00 beta=90.00 gamma=90.00
Closest atoms and distances in Å follow each position.
Space group Pmc2_1 (No. 26)
Unique sites:
Ba1 0.0000 0.1220 0.0000 [2 per cell]  7 Zn 3.48-3.57
Ca1 0.5000 0.3894 0.6417 [2 per cell]  6 Zn 3.13-3.32
Zn1 0.0000 0.3760 0.3603 [2 per cell]  2 Zn 2.60
Zn2 0.5000 0.1922 0.3107 [2 per cell]  2 Zn 2.60

Calculated values
The calculation puts the magnetic moment at 0.000 μB per atom. The crystal system is orthorhombic. The value obtained for the energy above the lowest structure with this stoichiometry is 3.2 meV/atom. The volume comes out at 32.33 A^3/atom. Its energy of formation from the pure elements is -181 meV/atom.

Q: The lowest energy of formation from the pure elements belongs to which entry?
A: BaCa4Zn5

Q: Which value of magnetic moment does entry 1 give?
A: 0.000 μB per atom

Q: The lowest energy of formation from the pure elements belongs to which entry?
A: BaCa4Zn5